No. 1
Below is a relaxed structure of As2PbSeCl, with properties calculated at the PBE level.

Geometry as POSCAR:
```
As2PbSeCl
1.0
5.6847 0.0000 0.0000
0.0000 5.6847 0.0000
0.0000 0.0000 5.4531
Se Cl As Pb
1 1 2 1
direct
0.0000 0.0000 0.5000
0.5000 0.5000 0.5000
0.0000 0.5000 0.0000
0.5000 0.0000 0.0000
0.0000 0.0000 0.0000
```

## Properties
Its polymorph energy (0 for the lowest one) is 0.144 eV per atom. The value obtained for the energy is -2.734 eV/atom. As for the density of states at the Fermi level: 6.51 states/eV/f.u. The space group is P4/mmm.

---

No. 2
Below is a relaxed structure of TiAs2PbCl, with properties calculated at the PBE level.

Geometry as POSCAR:
```
TiAs2PbCl
1.0
4.8800 0.0000 0.0000
0.0000 5.2583 0.0000
0.0000 0.0000 4.8800
As Cl Ti Pb
2 1 1 1
direct
0.5000 0.0000 0.0000
0.0000 0.0000 0.5000
0.0000 0.0000 0.0000
0.5000 0.5000 0.5000
0.0000 0.5000 0.0000
```

## Properties
The value obtained for the energy is -3.676 eV/atom. As for the density of states at the Fermi level: 4.47 states/eV/f.u. The space group is P4/mmm.

---

Number 1: formation energy (no corrections) 934 meV/atom. Number 2: formation energy (no corrections) 873 meV/atom.